NaScCdW2: relaxed, GGA-PBE.

**Electronic total energy**: -4.940 eV per atom
**Volume**: 22.970 Å³/atom
**ΔE_f**: 1955 meV per atom

Cell lengths 4.734, 5.125, 4.734 Å; angles 90.00, 90.00, 90.00 degrees
Sites, in units of the cell vectors:
Sc  0.000  0.000  0.000
Na  0.000  0.500  0.000
W  0.000  0.000  0.500
W  0.500  0.000  0.000
Cd  0.500  0.500  0.500